Entry 1:
This record from Alexandria describes TiMnTcW after structural relaxation. The functional is PBE.

abc: 4.320 4.320 4.320
angles: 60.00 60.00 60.00
Positions (direct):
Ti: 0.000 0.000 0.000
Mn: 0.250 0.250 0.250
Tc: 0.750 0.750 0.750
W: 0.500 0.500 0.500

Computed properties:
ΔE_f, eV/atom: -0.287

Entry 2:
This record from Alexandria describes KPm3Pu2Se6 after structural relaxation. The functional is PBE.

abc: 9.487 9.487 8.546
angles: 103.17 103.17 25.59
Positions (direct):
K: 0.000 0.000 0.000
Pm: 0.000 0.000 0.500
Pm: 0.335 0.335 0.169
Pm: 0.665 0.665 0.831
Pu: 0.332 0.332 0.664
Pu: 0.668 0.668 0.336
Se: 0.167 0.167 0.580
Se: 0.172 0.172 0.088
Se: 0.498 0.498 0.736
Se: 0.502 0.502 0.264
Se: 0.828 0.828 0.912
Se: 0.833 0.833 0.420

Computed properties:
Energy relative to the elements, uncorrected, eV per atom: -1.6729

Entry 3:
This record from Alexandria describes Mg2Hg2Pb after structural relaxation. The functional is PBE.

abc: 7.746 7.746 7.746
angles: 148.15 148.15 45.66
Positions (direct):
Mg: 0.103 0.103 0.000
Mg: 0.897 0.897 0.000
Hg: 0.250 0.750 0.500
Hg: 0.750 0.250 0.500
Pb: 0.500 0.500 0.000

Computed properties:
E above lowest polymorph, meV/atom: 109
ΔE_f, eV/atom: -0.012

Entry 4:
This record from Alexandria describes TiRhAu4 after structural relaxation. The functional is PBE.

abc: 5.005 5.005 5.087
angles: 101.06 101.06 119.33
Positions (direct):
Ti: 0.000 0.000 0.000
Rh: 0.593 0.593 0.589
Au: 0.225 0.899 0.532
Au: 0.365 0.694 0.052
Au: 0.694 0.365 0.052
Au: 0.899 0.225 0.532

Computed properties:
ΔE_f, eV/atom: -0.205

Energy per entry: -41.5, -85.0, -7.6, -29.6 eV for the cell shown
Calculated volume per entry: 14.3, 26.9, 25.8, 17.1 Å³ per atom